No. 1
# PBE-GGA LiLaDyFe, relaxed
# * V: 88.7 Å³/f.u.
# * density of states at the Fermi level: 0.988 states/eV per atom
# * E: -4.84 eV/atom
# * formation energy: 139 meV/atom
data_LiLaDyFe
_chemical_formula_sum 'Li4 La4 Dy4 Fe4'
_symmetry_space_group_name_H-M 'F -4 3 m'
_symmetry_Int_Tables_number 216
_symmetry_space_group_name_Hall 'F -4 2 3'
_cell_length_a 7.080
_cell_length_b 7.080
_cell_length_c 7.080
_cell_angle_alpha 90.00
_cell_angle_beta 90.00
_cell_angle_gamma 90.00
loop_
_atom_site_label
_atom_site_type_symbol
_atom_site_fract_x
_atom_site_fract_y
_atom_site_fract_z
Li1 Li 0.000 0.000 0.000
La1 La 0.250 0.250 0.250
Dy1 Dy 0.250 0.250 0.750
Fe1 Fe 0.000 0.000 0.500



No. 2
# PBE-GGA KOs2Au, relaxed
# * V: 70.9 Å³/f.u.
# * density of states at the Fermi level: 0.722 states/eV per atom
# * E: -5.27 eV/atom
# * formation energy: 1441 meV/atom
# * polymorph energy (0 for the lowest one): 898 meV per atom
data_KOs2Au
_chemical_formula_sum 'K2 Os4 Au2'
_symmetry_space_group_name_H-M 'I -4 m 2'
_symmetry_Int_Tables_number 119
_symmetry_space_group_name_Hall 'I -4 -2'
_cell_length_a 4.652
_cell_length_b 4.652
_cell_length_c 6.555
_cell_angle_alpha 90.00
_cell_angle_beta 90.00
_cell_angle_gamma 90.00
loop_
_atom_site_label
_atom_site_type_symbol
_atom_site_fract_x
_atom_site_fract_y
_atom_site_fract_z
K1 K 0.000 0.000 0.000
Os1 Os 0.000 0.000 0.500
Os2 Os 0.000 0.500 0.250
Au1 Au 0.000 0.500 0.750



No. 3
# PBE-GGA ReAgAs2Se, relaxed
# * E_form (uncorrected): 0.653 eV/atom
# * V: 120.9 Å³/f.u.
# * density of states at the Fermi level: 0.977 states/eV per atom
# * E: -4.96 eV/atom
# * polymorph energy (0 for the lowest one): 0 meV per atom
data_ReAgAs2Se
_chemical_formula_sum 'Re1 Ag1 As2 Se1'
_symmetry_space_group_name_H-M 'P 4/m m m'
_symmetry_Int_Tables_number 123
_symmetry_space_group_name_Hall '-P 4 2'
_cell_length_a 4.710
_cell_length_b 4.710
_cell_length_c 5.449
_cell_angle_alpha 90.00
_cell_angle_beta 90.00
_cell_angle_gamma 90.00
loop_
_atom_site_label
_atom_site_type_symbol
_atom_site_fract_x
_atom_site_fract_y
_atom_site_fract_z
Re1 Re 0.000 0.000 0.000
Ag1 Ag 0.500 0.500 0.500
As1 As 0.000 0.500 0.000
Se1 Se 0.000 0.000 0.500



No. 4
# PBE-GGA LaPm2NdEr2, relaxed
# * V: 202.2 Å³/f.u.
# * density of states at the Fermi level: 1.589 states/eV per atom
# * E: -4.66 eV/atom
# * formation energy: 65 meV/atom
data_LaPm2NdEr2
_chemical_formula_sum 'La2 Pm4 Nd2 Er4'
_symmetry_space_group_name_H-M 'P n n m'
_symmetry_Int_Tables_number 58
_cell_length_a 7.073
_cell_length_b 9.953
_cell_length_c 5.746
_cell_angle_alpha 90.00
_cell_angle_beta 90.00
_cell_angle_gamma 90.00
loop_
_symmetry_equiv_pos_as_xyz
'x,y,z'
'-x,-y,-z'
'-x,-y,z'
'x,y,-z'
'x+1/2,-y+1/2,-z+1/2'
'-x+1/2,y+1/2,z+1/2'
'-x+1/2,y+1/2,-z+1/2'
'x+1/2,-y+1/2,z+1/2'
loop_
_atom_site_label
_atom_site_type_symbol
_atom_site_fract_x
_atom_site_fract_y
_atom_site_fract_z
La1 La 0.000 0.000 0.000
Pm1 Pm 0.249 0.333 0.000
Nd1 Nd 0.000 0.500 0.500
Er1 Er 0.250 0.166 0.500



Number 1: total magnetic moment 3.25 μB per cell, mass density 6.8 g cm⁻³. Number 2: total magnetic moment 0.00 μB per cell, mass density 14.4 g cm⁻³. Number 3: total magnetic moment 0.30 μB per cell, mass density 7.2 g cm⁻³. Number 4: total magnetic moment 0.00 μB per cell, mass density 7.5 g cm⁻³.